Here is crystalline KCa3W at its relaxed geometry from Alexandria via LeMat-Bulk. Energies are from PBE-GGA.

Properties
DFT total energy, eV per atom: -3.1440
Spin magnetization, μB/atom: 0.0000
Energy above the lowest structure with this stoichiometry, meV per atom: 0

a b c (Å): 5.776 5.776 5.776
angles (deg): 90.00 90.00 90.00
Sites, in units of the cell vectors:
K (0.000, 0.000, 0.000)
Ca (0.000, 0.500, 0.500)
Ca (0.500, 0.000, 0.500)
Ca (0.500, 0.500, 0.000)
W (0.500, 0.500, 0.500)